Record 1
Compound: Sm3Y3Th
Source: the Alexandria database
Functional: GGA-PBE
Structure: relaxed

## Properties
The calculation puts the total energy at -5.704 eV per atom. Its volume is 33.64 A^3/atom. The value obtained for the energy above the most stable polymorph in this dataset is 0 meV/atom. The calculation puts the formation energy from the elements at 0.149 eV per atom. The value obtained for the total magnetization is 0.0 μB per formula unit.

Unit cell a=6.171 b=6.171 c=13.443 alpha=98.31 beta=98.31 gamma=108.31
Positions (direct):
Sm (0.189, 0.811, 0.000)
Sm (0.224, 0.776, 0.500)
Sm (0.411, 0.411, 0.116)
Sm (0.589, 0.589, 0.884)
Sm (0.776, 0.224, 0.500)
Sm (0.811, 0.189, 0.000)
Y (0.047, 0.636, 0.225)
Y (0.201, 0.201, 0.352)
Y (0.364, 0.953, 0.775)
Y (0.636, 0.047, 0.225)
Y (0.799, 0.799, 0.648)
Y (0.953, 0.364, 0.775)
Th (0.341, 0.341, 0.625)
Th (0.659, 0.659, 0.375)

=====

Record 2
Compound: Sm4YTh3
Source: the Alexandria database
Functional: GGA-PBE
Structure: relaxed

## Properties
The calculation puts the total energy at -5.914 eV per atom. Its volume is 33.08 A^3/atom. The calculation puts the formation energy from the elements at 0.036 eV per atom. The value obtained for the total magnetization is 0.0 μB per formula unit.

Unit cell a=5.079 b=10.178 c=10.239 alpha=90.00 beta=90.00 gamma=90.00
Positions (direct):
Sm (0.250, 0.001, 0.131)
Sm (0.250, 0.250, 0.872)
Sm (0.250, 0.499, 0.131)
Sm (0.250, 0.750, 0.865)
Sm (0.750, 0.250, 0.135)
Sm (0.750, 0.501, 0.869)
Sm (0.750, 0.750, 0.128)
Sm (0.750, 0.999, 0.869)
Y (0.250, 0.750, 0.380)
Y (0.750, 0.250, 0.620)
Th (0.250, 0.250, 0.379)
Th (0.250, 0.503, 0.620)
Th (0.250, 0.997, 0.620)
Th (0.750, 0.003, 0.380)
Th (0.750, 0.497, 0.380)
Th (0.750, 0.750, 0.621)

=====

Record 3
Compound: Sm8Y2Th3
Source: the Alexandria database
Functional: GGA-PBE
Structure: relaxed

## Properties
The calculation puts the total energy at -5.349 eV per atom. Its volume is 34.92 A^3/atom. The calculation puts the formation energy from the elements at 0.262 eV per atom. The value obtained for the total magnetization is 0.0 μB per formula unit.

Unit cell a=10.845 b=10.845 c=5.701 alpha=90.02 beta=90.02 gamma=42.60
Positions (direct):
Sm (0.100, 0.687, 0.000)
Sm (0.168, 0.168, 0.501)
Sm (0.313, 0.900, 0.000)
Sm (0.372, 0.372, 0.500)
Sm (0.628, 0.628, 0.500)
Sm (0.687, 0.100, 0.000)
Sm (0.832, 0.832, 0.499)
Sm (0.900, 0.313, 0.000)
Y (0.260, 0.260, 0.001)
Y (0.740, 0.740, 0.999)
Th (0.208, 0.792, 0.500)
Th (0.500, 0.500, 0.000)
Th (0.792, 0.208, 0.500)

=====

Record 4
Compound: Sm2Y4Th3
Source: the Alexandria database
Functional: GGA-PBE
Structure: relaxed

## Properties
The calculation puts the total energy at -6.315 eV per atom. Its volume is 32.96 A^3/atom. The calculation puts the formation energy from the elements at 0.080 eV per atom. The value obtained for the total magnetization is 0.0 μB per formula unit.

Unit cell a=3.584 b=3.584 c=26.665 alpha=90.00 beta=90.00 gamma=120.00
Positions (direct):
Sm (0.000, 0.000, 0.000)
Sm (0.000, 0.000, 0.219)
Y (0.000, 0.000, 0.346)
Y (0.000, 0.000, 0.563)
Y (0.333, 0.667, 0.671)
Y (0.333, 0.667, 0.890)
Th (0.000, 0.000, 0.781)
Th (0.333, 0.667, 0.111)
Th (0.333, 0.667, 0.452)

=====

Record 5
Compound: Sm3Y2Th
Source: the Alexandria database
Functional: GGA-PBE
Structure: relaxed

## Properties
The calculation puts the total energy at -5.716 eV per atom. Its volume is 33.14 A^3/atom. The value obtained for the energy above the most stable polymorph in this dataset is 0 meV/atom. The calculation puts the formation energy from the elements at 0.035 eV per atom. The value obtained for the total magnetization is 0.0 μB per formula unit.

Unit cell a=9.535 b=9.535 c=9.535 alpha=148.98 beta=115.28 gamma=73.50
Positions (direct):
Sm (0.000, 0.000, 0.000)
Sm (0.173, 0.668, 0.506)
Sm (0.338, 0.332, 0.006)
Sm (0.500, 0.000, 0.500)
Sm (0.662, 0.668, 0.994)
Sm (0.827, 0.332, 0.494)
Y (0.084, 0.834, 0.250)
Y (0.252, 0.502, 0.750)
Y (0.748, 0.498, 0.250)
Y (0.916, 0.166, 0.750)
Th (0.419, 0.169, 0.250)
Th (0.581, 0.831, 0.750)

=====

Record 6
Compound: Sm3Y7Th
Source: the Alexandria database
Functional: GGA-PBE
Structure: relaxed

## Properties
The calculation puts the total energy at -5.889 eV per atom. Its volume is 34.71 A^3/atom. The value obtained for the energy above the most stable polymorph in this dataset is 26 meV/atom. The calculation puts the formation energy from the elements at 0.186 eV per atom. The value obtained for the total magnetization is 0.0 μB per formula unit.

Unit cell a=7.104 b=7.104 c=8.736 alpha=90.00 beta=90.00 gamma=120.00
Positions (direct):
Sm (0.004, 0.502, 0.000)
Sm (0.498, 0.502, 0.000)
Sm (0.498, 0.996, 0.000)
Y (0.169, 0.338, 0.340)
Y (0.169, 0.831, 0.340)
Y (0.334, 0.167, 0.667)
Y (0.662, 0.831, 0.340)
Y (0.667, 0.333, 0.337)
Y (0.833, 0.167, 0.667)
Y (0.833, 0.666, 0.667)
Th (0.333, 0.667, 0.667)

=====

Record 7
Compound: Sm3Y7Th
Source: the Alexandria database
Functional: GGA-PBE
Structure: relaxed

## Properties
The calculation puts the total energy at -5.916 eV per atom. Its volume is 33.51 A^3/atom. The value obtained for the energy above the most stable polymorph in this dataset is 0 meV/atom. The calculation puts the formation energy from the elements at 0.159 eV per atom. The value obtained for the total magnetization is 0.0 μB per formula unit.

Unit cell a=10.029 b=10.029 c=6.569 alpha=100.42 beta=100.42 gamma=139.25
Positions (direct):
Sm (0.000, 0.000, 0.000)
Sm (0.000, 0.500, 0.500)
Sm (0.500, 0.000, 0.500)
Y (0.000, 0.000, 0.500)
Y (0.063, 0.383, 0.940)
Y (0.383, 0.063, 0.940)
Y (0.413, 0.587, 0.500)
Y (0.587, 0.413, 0.500)
Y (0.617, 0.937, 0.060)
Y (0.937, 0.617, 0.060)
Th (0.500, 0.500, 0.000)

=====

Record 8
Compound: SmYTh2
Source: the Alexandria database
Functional: GGA-PBE
Structure: relaxed

## Properties
The calculation puts the total energy at -6.233 eV per atom. Its volume is 34.55 A^3/atom. The value obtained for the energy above the most stable polymorph in this dataset is 244 meV/atom. The calculation puts the formation energy from the elements at 0.273 eV per atom. The value obtained for the total magnetization is 0.0 μB per formula unit.

Unit cell a=9.895 b=9.895 c=3.550 alpha=93.86 beta=93.86 gamma=126.47
Positions (direct):
Sm (0.000, 0.500, 0.000)
Sm (0.500, 0.000, 0.500)
Y (0.087, 0.913, 0.250)
Y (0.913, 0.087, 0.750)
Th (0.257, 0.423, 0.458)
Th (0.423, 0.257, 0.958)
Th (0.577, 0.743, 0.042)
Th (0.743, 0.577, 0.542)